Pm2InOs | PBE | optimized geometry

a = 7.322 Å, b = 7.322 Å, c = 7.322 Å
α = 90.00°, β = 90.00°, γ = 90.00°
Space group Fm-3m (No. 225)
One atom of each set of equivalent atoms:
Pm 0.250 0.250 0.250 (multiplicity 8)
In 0.000 0.000 0.000 (multiplicity 4)
Os 0.000 0.000 0.500 (multiplicity 4)

Output
* DFT formation energy: -45.7 kJ/mol of formula units
* total magnetization: 0.00 μB per cell
* total DFT energy (no corrections): -5.986 eV per atom